# 1
Entry from Alexandria via LeMat-Bulk: SrIn2Os after structural relaxation (GGA-PBE).

The structure belongs to space group Imm2 (No. 44); the cell edges are 3.264, 4.450 and 14.466 Å and the angles 90.00°, 90.00° and 90.00°. The inequivalent atoms are Sr at (0.000, 0.000, 0.000), In at (0.000, 0.000, 0.655), In at (0.000, 0.500, 0.817) and Os at (0.000, 0.500, 0.311).

Its energy relative to the elements is 187 meV per atom. The calculation puts the final energy at -4.41 eV/atom.

***

# 2
Entry from Alexandria via LeMat-Bulk: BaInSn2Se after structural relaxation (GGA-PBE).

The structure belongs to space group P4/mmm (No. 123); the cell edges are 5.604, 5.604 and 5.685 Å and the angles 90.00°, 90.00° and 90.00°. The inequivalent atoms are Ba at (0.000, 0.000, 0.000), In at (0.500, 0.500, 0.500), Sn at (0.000, 0.500, 0.500) and Se at (0.500, 0.500, 0.000).

The calculation puts the final energy at -3.35 eV/atom.

***

# 3
Entry from Alexandria via LeMat-Bulk: NaCo2Hg after structural relaxation (GGA-PBE).

The structure belongs to space group I-42d (No. 122); the cell edges are 3.981, 3.981 and 19.261 Å and the angles 90.00°, 90.00° and 90.00°. The inequivalent atoms are Na at (0.000, 0.000, 0.000), Co at (0.141, 0.250, 0.625) and Hg at (0.000, 0.000, 0.500).

Its energy relative to the elements is 685 meV per atom. The calculation puts the final energy at -3.27 eV/atom.

***

# 4
Entry from Alexandria via LeMat-Bulk: CaMoW3 after structural relaxation (GGA-PBE).

The structure belongs to space group Pm-3m (No. 221); the cell edges are 4.530, 4.530 and 4.530 Å and the angles 90.00°, 90.00° and 90.00°. The inequivalent atoms are Ca at (0.000, 0.000, 0.000), Mo at (0.500, 0.500, 0.500) and W at (0.000, 0.000, 0.500).

The calculation puts the energy above the most stable polymorph in this dataset at 7.51 eV per formula unit. Its energy relative to the elements is 3210 meV per atom. The calculation puts the final energy at -7.13 eV/atom.

***

# 5
Entry from Alexandria via LeMat-Bulk: Pm5Sm2Er5 after structural relaxation (GGA-PBE).

The structure belongs to space group C2/m (No. 12); the cell edges are 15.213, 5.063 and 11.354 Å and the angles 90.00°, 116.56° and 90.00°. The inequivalent atoms are Pm at (0.000, 0.000, 0.000), Pm at (0.085, 0.000, 0.751), Pm at (0.166, 0.000, 0.499), Sm at (0.083, 0.500, 0.248), Er at (0.000, 0.500, 0.500), Er at (0.169, 0.500, 0.001) and Er at (0.250, 0.000, 0.248).

Its energy relative to the elements is 18 meV per atom. The calculation puts the final energy at -4.65 eV/atom.

***

# 6
Entry from Alexandria via LeMat-Bulk: DyH8Ir2 after structural relaxation (GGA-PBE).

The structure belongs to space group P4/mmm (No. 123); the cell edges are 4.444, 4.444 and 4.673 Å and the angles 90.00°, 90.00° and 90.00°. The inequivalent atoms are Dy at (0.000, 0.000, 0.000), H at (0.280, 0.280, 0.302) and Ir at (0.000, 0.500, 0.500).

The calculation puts the final energy at -4.57 eV/atom.

***

# 7
Entry from Alexandria via LeMat-Bulk: Tb6DyHo after structural relaxation (GGA-PBE).

The structure belongs to space group P4/mmm (No. 123); the cell edges are 5.017, 5.017 and 10.034 Å and the angles 90.00°, 90.00° and 90.00°. The inequivalent atoms are Tb at (0.000, 0.000, 0.000), Tb at (0.000, 0.000, 0.500), Tb at (0.000, 0.500, 0.250), Dy at (0.500, 0.500, 0.000) and Ho at (0.500, 0.500, 0.500).

The calculation puts the energy above the most stable polymorph in this dataset at 0.00 eV per formula unit. Its energy relative to the elements is 19 meV per atom. The calculation puts the final energy at -4.60 eV/atom.

***

# 8
Entry from Alexandria via LeMat-Bulk: AcNdCuNi after structural relaxation (GGA-PBE).

The structure belongs to space group Amm2 (No. 38); the cell edges are 4.542, 4.000 and 10.972 Å and the angles 90.00°, 90.00° and 90.00°. The inequivalent atoms are Ac at (0.000, 0.000, 0.000), Nd at (0.500, 0.000, 0.276), Cu at (0.500, 0.000, 0.578) and Ni at (0.000, 0.000, 0.709).

The calculation puts the energy above the most stable polymorph in this dataset at 0.00 eV per formula unit. Its energy relative to the elements is -197 meV per atom. The calculation puts the final energy at -4.89 eV/atom.